# K6ClO3 (PBE, relaxed)
data_K6ClO3
_cell_length_a 11.176
_cell_length_b 4.101
_cell_length_c 11.409
_cell_angle_alpha 90.00
_cell_angle_beta 106.75
_cell_angle_gamma 90.00
_space_group_name_H-M_alt 'P 1 21/m 1'
_space_group_IT_number 11
_space_group_name_Hall '-P 2yb'
loop_
_atom_site_label
_atom_site_type_symbol
_atom_site_fract_x
_atom_site_fract_y
_atom_site_fract_z
K1 K 0.032 0.250 0.403
K2 K 0.104 0.250 0.950
K3 K 0.194 0.750 0.267
K4 K 0.268 0.750 0.768
K5 K 0.349 0.250 0.547
K6 K 0.425 0.750 0.079
Cl1 Cl 0.436 0.250 0.304
O1 O 0.037 0.250 0.171
O2 O 0.180 0.750 0.513
O3 O 0.335 0.250 0.916
# - Theoretical density: 2.11 Mg/m³
# - Total energy: -3.511 eV per atom
# - Formation energy without anion corrections: -1.1808 eV per atom


# Cu5Bi (PBE, relaxed)
data_Cu5Bi
_cell_length_a 3.948
_cell_length_b 11.464
_cell_length_c 3.910
_cell_angle_alpha 90.00
_cell_angle_beta 90.00
_cell_angle_gamma 90.00
_space_group_name_H-M_alt 'C m m m'
_space_group_IT_number 65
_space_group_name_Hall '-C 2 2'
loop_
_atom_site_label
_atom_site_type_symbol
_atom_site_fract_x
_atom_site_fract_y
_atom_site_fract_z
Cu1 Cu 0.000 0.000 0.000
Cu2 Cu 0.000 0.178 0.500
Cu3 Cu 0.000 0.319 0.000
Bi1 Bi 0.000 0.500 0.500
# - Theoretical density: 9.89 Mg/m³
# - Total energy: -3.882 eV per atom
# - Calculated formation energy: 0.18 eV/atom


# NdTm2In4 (PBE, relaxed)
data_NdTm2In4
_cell_length_a 5.934
_cell_length_b 5.934
_cell_length_c 11.566
_cell_angle_alpha 90.00
_cell_angle_beta 90.00
_cell_angle_gamma 90.00
_space_group_name_H-M_alt 'I 4/m m m'
_space_group_IT_number 139
_space_group_name_Hall '-I 4 2'
loop_
_atom_site_label
_atom_site_type_symbol
_atom_site_fract_x
_atom_site_fract_y
_atom_site_fract_z
Nd1 Nd 0.000 0.000 0.000
Tm1 Tm 0.000 0.000 0.355
In1 In 0.000 0.500 0.000
In2 In 0.000 0.500 0.250
# - Theoretical density: 7.68 Mg/m³
# - Total energy: -3.666 eV per atom
# - Calculated formation energy: -0.14 eV/atom
# - Polymorph energy (0 for the lowest one): 131.2 meV per atom


# LiBe4Ir (PBE, relaxed)
data_LiBe4Ir
_cell_length_a 6.088
_cell_length_b 6.088
_cell_length_c 6.088
_cell_angle_alpha 90.00
_cell_angle_beta 90.00
_cell_angle_gamma 90.00
_space_group_name_H-M_alt 'F -4 3 m'
_space_group_IT_number 216
_space_group_name_Hall 'F -4 2 3'
loop_
_atom_site_label
_atom_site_type_symbol
_atom_site_fract_x
_atom_site_fract_y
_atom_site_fract_z
Li1 Li 0.000 0.000 0.000
Be1 Be 0.124 0.124 0.624
Ir1 Ir 0.250 0.250 0.250
# - Theoretical density: 6.92 Mg/m³
# - Total energy: -4.598 eV per atom
# - Calculated formation energy: -0.32 eV/atom


# Pm2InTe (PBE, relaxed)
data_Pm2InTe
_cell_length_a 7.759
_cell_length_b 7.759
_cell_length_c 7.759
_cell_angle_alpha 90.00
_cell_angle_beta 90.00
_cell_angle_gamma 90.00
_space_group_name_H-M_alt 'F m -3 m'
_space_group_IT_number 225
_space_group_name_Hall '-F 4 2 3'
loop_
_atom_site_label
_atom_site_type_symbol
_atom_site_fract_x
_atom_site_fract_y
_atom_site_fract_z
Pm1 Pm 0.250 0.250 0.250
In1 In 0.000 0.000 0.000
Te1 Te 0.000 0.000 0.500
# - Theoretical density: 7.57 Mg/m³
# - Total energy: -4.518 eV per atom
# - Polymorph energy (0 for the lowest one): 304.7 meV per atom
# - Formation energy without anion corrections: -0.6728 eV per atom


# AcNd2Pt (PBE, relaxed)
data_AcNd2Pt
_cell_length_a 7.451
_cell_length_b 10.309
_cell_length_c 6.776
_cell_angle_alpha 90.00
_cell_angle_beta 90.00
_cell_angle_gamma 90.00
_space_group_name_H-M_alt 'P n m a'
_space_group_IT_number 62
_space_group_name_Hall '-P 2ac 2n'
loop_
_atom_site_label
_atom_site_type_symbol
_atom_site_fract_x
_atom_site_fract_y
_atom_site_fract_z
Ac1 Ac 0.029 0.250 0.143
Nd1 Nd 0.176 0.065 0.670
Pt1 Pt 0.117 0.750 0.418
# - Theoretical density: 9.07 Mg/m³
# - Total energy: -5.536 eV per atom
# - Calculated formation energy: -0.62 eV/atom
# - Polymorph energy (0 for the lowest one): 0.0 meV per atom


Copy entry 6 word for word.
# AcNd2Pt (PBE, relaxed)
data_AcNd2Pt
_cell_length_a 7.451
_cell_length_b 10.309
_cell_length_c 6.776
_cell_angle_alpha 90.00
_cell_angle_beta 90.00
_cell_angle_gamma 90.00
_space_group_name_H-M_alt 'P n m a'
_space_group_IT_number 62
_space_group_name_Hall '-P 2ac 2n'
loop_
_atom_site_label
_atom_site_type_symbol
_atom_site_fract_x
_atom_site_fract_y
_atom_site_fract_z
Ac1 Ac 0.029 0.250 0.143
Nd1 Nd 0.176 0.065 0.670
Pt1 Pt 0.117 0.750 0.418
# - Theoretical density: 9.07 Mg/m³
# - Total energy: -5.536 eV per atom
# - Calculated formation energy: -0.62 eV/atom
# - Polymorph energy (0 for the lowest one): 0.0 meV per atom


> What is the theoretical density in the fourth record?

6.92 Mg/m³


> theoretical density of number 6 (AcNd2Pt)?

9.07 Mg/m³